# 1
# PBE-GGA Ce2MgH, optimized geometry
data_Ce2MgH
_chemical_formula_sum 'Ce2 Mg1 H1'
_cell_length_a 3.112
_cell_length_b 3.112
_cell_length_c 8.221
_cell_angle_alpha 90.00
_cell_angle_beta 90.00
_cell_angle_gamma 90.00
_symmetry_space_group_name_H-M 'P 4/m m m'
_symmetry_Int_Tables_number 123
_symmetry_space_group_name_Hall '-P 4 2'
loop_
_atom_site_label
_atom_site_fract_x
_atom_site_fract_y
_atom_site_fract_z
Ce1 0.000 0.000 0.169
Mg1 0.500 0.500 0.500
H1 0.500 0.500 0.000
# Fermi-level density of states: 1.939 states/eV/atom
# Mass density: 6.37 g cm⁻³
# Offset from the most stable computed form: 112 meV per atom



# 2
# PBE-GGA KMn2TePt, optimized geometry
data_KMn2TePt
_chemical_formula_sum 'K1 Mn2 Te1 Pt1'
_cell_length_a 4.751
_cell_length_b 4.751
_cell_length_c 5.898
_cell_angle_alpha 90.00
_cell_angle_beta 90.00
_cell_angle_gamma 90.00
_symmetry_space_group_name_H-M 'P 4/m m m'
_symmetry_Int_Tables_number 123
_symmetry_space_group_name_Hall '-P 4 2'
loop_
_atom_site_label
_atom_site_fract_x
_atom_site_fract_y
_atom_site_fract_z
K1 0.000 0.000 0.000
Mn1 0.000 0.500 0.500
Te1 0.000 0.000 0.500
Pt1 0.500 0.500 0.000
# Fermi-level density of states: 1.873 states/eV/atom
# Mass density: 5.88 g cm⁻³
# Formation energy from raw total energies: 1.53 eV per atom



# 3
# PBE-GGA SrMg3P, optimized geometry
data_SrMg3P
_chemical_formula_sum 'Sr1 Mg3 P1'
_cell_length_a 6.550
_cell_length_b 6.550
_cell_length_c 6.550
_cell_angle_alpha 90.00
_cell_angle_beta 90.00
_cell_angle_gamma 90.00
_symmetry_space_group_name_H-M 'P m -3 m'
_symmetry_Int_Tables_number 221
_symmetry_space_group_name_Hall '-P 4 2 3'
loop_
_atom_site_label
_atom_site_fract_x
_atom_site_fract_y
_atom_site_fract_z
Sr1 0.000 0.000 0.000
Mg1 0.000 0.000 0.500
P1 0.500 0.500 0.500
# Fermi-level density of states: 1.383 states/eV/atom
# Mass density: 1.13 g cm⁻³
# Offset from the most stable computed form: 1448 meV per atom



Q: Among the records above, which one has the lowest Fermi-level density of states?
A: SrMg3P



Q: mass density of number 3 (SrMg3P)?
A: 1.13 g cm⁻³